Entry 1
FeSn3As, optimized geometry, DFT GGA-PBE; V = 147 Å³ per cell; ρ = 5.49 g cm⁻³
1.0
5.281 0.000 0.000
0.000 5.281 0.000
0.000 0.000 5.281
Fe Sn As
1 3 1
Direct
0.000 0.000 0.000
0.000 0.500 0.500
0.500 0.000 0.500
0.500 0.500 0.000
0.500 0.500 0.500


Entry 2
FeSn3As, optimized geometry, DFT GGA-PBE; V = 119 Å³ per cell; ρ = 6.82 g cm⁻³
1.0
4.912 0.000 0.000
0.000 4.912 0.000
0.000 0.000 4.912
Fe Sn As
1 3 1
Direct
0.000 0.000 0.000
0.000 0.000 0.500
0.000 0.500 0.000
0.500 0.000 0.000
0.500 0.500 0.500


What are the relative energies? In meV/atom: entry 1 823; entry 2 0.


Entry 1
FeSn2As2, optimized geometry, DFT GGA-PBE; V = 211 Å³ per cell; ρ = 6.96 g cm⁻³
1.0
7.277 0.000 0.000
0.000 7.277 0.000
0.000 0.000 3.993
Fe Sn As
2 4 4
Direct
0.000 0.000 0.000
0.500 0.500 0.000
0.146 0.354 0.000
0.354 0.854 0.000
0.646 0.146 0.000
0.854 0.646 0.000
0.173 0.673 0.500
0.327 0.173 0.500
0.673 0.827 0.500
0.827 0.327 0.500


Entry 2
FeSn2As2, optimized geometry, DFT GGA-PBE; V = 110 Å³ per cell; ρ = 6.67 g cm⁻³
1.0
-1.780 1.780 8.704
1.780 -1.780 8.704
1.780 1.780 -8.704
Fe Sn As
1 2 2
Direct
0.000 0.000 0.000
0.413 0.413 0.000
0.587 0.587 0.000
0.250 0.750 0.500
0.750 0.250 0.500


What are the relative energies? In meV/atom: entry 1 96; entry 2 0.